ScTaZnCu | PBE | optimized geometry

The structure in extended XYZ format:
```
4
Lattice="0.228 -4.498 -0.797 -1.779 -2.949 3.010 -3.792 -2.331 -1.050" Properties=species:S:1:pos:R:3 pbc="T T T"
Cu -4.007 -7.334 0.872
Sc -2.671 -4.889 0.581
Zn 0.000 0.000 0.000
Ta -1.336 -2.445 0.291
```

Computed properties:
Formation energy ... 0.36 eV per atom
Spin magnetization ... 3.0 μB per cell
ΔE to the lowest computed polymorph ... 0 meV/atom
Uncorrected energy ... -5.43 eV/atom
Symmetry ... F-43m
Volume ... 16.9 A^3/atom

Sc2Cu3Tc | PBE | optimized geometry

The structure in extended XYZ format:
```
6
Lattice="-2.430 -0.539 2.142 1.355 -2.879 0.813 4.540 3.866 6.125" Properties=species:S:1:pos:R:3 pbc="T T T"
Tc 3.716 3.165 5.014
Cu 0.937 -0.453 3.467
Cu 0.831 0.707 1.121
Cu 2.520 0.894 5.602
Sc 2.276 1.938 3.071
Sc 3.997 2.152 7.595
```

Computed properties:
Formation energy ... -0.10 eV per atom
Spin magnetization ... 0.0 μB per cell
Uncorrected energy ... -5.79 eV/atom
Symmetry ... P4mm
Volume ... 15.4 A^3/atom

ScCuTc2 | PBE | optimized geometry

The structure in extended XYZ format:
```
4
Lattice="2.200 1.270 3.593 -2.200 1.270 3.593 0.000 -2.541 3.593" Properties=species:S:1:pos:R:3 pbc="T T T"
Sc 0.000 0.000 0.000
Cu 0.000 0.000 2.695
Tc 0.000 0.000 5.390
Tc 0.000 0.000 8.085
```

Computed properties:
Formation energy ... -0.07 eV per atom
Spin magnetization ... 0.0 μB per cell
Uncorrected energy ... -7.76 eV/atom
Symmetry ... F-43m
Volume ... 15.1 A^3/atom

ScCuTc | PBE | optimized geometry

The structure in extended XYZ format:
```
6
Lattice="3.179 0.000 0.000 0.000 3.179 0.000 0.000 0.000 9.175" Properties=species:S:1:pos:R:3 pbc="T T T"
Cu 1.589 0.000 8.587
Cu 0.000 1.589 0.588
Sc 0.000 1.589 7.029
Sc 1.589 0.000 2.146
Tc 1.589 0.000 5.294
Tc 0.000 1.589 3.881
```

Computed properties:
Formation energy ... -0.22 eV per atom
Spin magnetization ... 0.0 μB per cell
ΔE to the lowest computed polymorph ... 0 meV/atom
Uncorrected energy ... -7.02 eV/atom
Symmetry ... P4/nmm
Volume ... 15.5 A^3/atom

Sc2CuTc3 | PBE | optimized geometry

The structure in extended XYZ format:
```
6
Lattice="3.181 0.000 0.000 0.000 3.181 0.000 0.000 0.000 9.501" Properties=species:S:1:pos:R:3 pbc="T T T"
Tc 0.000 0.000 7.783
Tc 1.590 1.590 6.408
Tc 1.590 1.590 3.062
Cu 0.000 0.000 1.761
Sc 0.000 0.000 4.642
Sc 1.590 1.590 0.095
```

Computed properties:
Formation energy ... -0.06 eV per atom
Spin magnetization ... 0.0 μB per cell
Uncorrected energy ... -7.97 eV/atom
Symmetry ... P4mm
Volume ... 16.0 A^3/atom

ScCuTc | PBE | optimized geometry

The structure in extended XYZ format:
```
6
Lattice="3.269 0.000 0.000 0.000 3.269 0.000 0.000 0.000 8.720" Properties=species:S:1:pos:R:3 pbc="T T T"
Cu 1.634 1.634 1.542
Cu 1.634 1.634 7.178
Sc 0.000 0.000 0.000
Sc 1.634 1.634 4.360
Tc 0.000 0.000 2.841
Tc 0.000 0.000 5.879
```

Computed properties:
Formation energy ... 0.08 eV per atom
Spin magnetization ... 0.1 μB per cell
ΔE to the lowest computed polymorph ... 298 meV/atom
Uncorrected energy ... -6.72 eV/atom
Symmetry ... P4/mmm
Volume ... 15.5 A^3/atom

ScTlCuTc | PBE | optimized geometry

The structure in extended XYZ format:
```
4
Lattice="-1.716 -3.926 -1.766 -4.507 -0.298 -1.038 -1.352 -0.151 -4.430" Properties=species:S:1:pos:R:3 pbc="T T T"
Sc -3.788 -2.188 -3.617
Tc -1.894 -1.094 -1.808
Tl 0.000 0.000 0.000
Cu -5.682 -3.281 -5.425
```

Computed properties:
Spin magnetization ... 0.0 μB per cell
ΔE to the lowest computed polymorph ... 0 meV/atom
Uncorrected energy ... -5.49 eV/atom
Symmetry ... F-43m
Volume ... 17.6 A^3/atom

ScTlCuTc | PBE | optimized geometry

The structure in extended XYZ format:
```
4
Lattice="0.000 3.273 3.273 3.273 0.000 3.273 3.273 3.273 0.000" Properties=species:S:1:pos:R:3 pbc="T T T"
Cu 4.909 4.909 4.909
Tl 0.000 0.000 0.000
Tc 3.273 3.273 3.273
Sc 1.636 1.636 1.636
```

Computed properties:
Spin magnetization ... 0.0 μB per cell
ΔE to the lowest computed polymorph ... 128 meV/atom
Uncorrected energy ... -5.36 eV/atom
Symmetry ... F-43m
Volume ... 17.5 A^3/atom

ScZnCuTc | PBE | optimized geometry

The structure in extended XYZ format:
```
4
Lattice="2.710 -1.403 3.195 -1.635 -1.122 3.948 -0.059 -4.239 1.242" Properties=species:S:1:pos:R:3 pbc="T T T"
Tc 0.254 -1.691 2.096
Sc 0.508 -3.382 4.192
Cu 0.762 -5.074 6.289
Zn 0.000 0.000 0.000
```

Computed properties:
Formation energy ... 0.03 eV per atom
Spin magnetization ... 0.0 μB per cell
ΔE to the lowest computed polymorph ... 0 meV/atom
Uncorrected energy ... -5.38 eV/atom
Symmetry ... F-43m
Volume ... 15.2 A^3/atom

ScCu2Te | PBE | optimized geometry

The structure in extended XYZ format:
```
4
Lattice="-3.027 -1.491 3.243 -3.911 2.429 0.843 -4.153 -1.728 -1.294" Properties=species:S:1:pos:R:3 pbc="T T T"
Sc -8.318 -0.593 2.094
Cu 0.000 0.000 0.000
Cu -2.773 -0.198 0.698
Te -5.546 -0.395 1.396
```

Computed properties:
Spin magnetization ... 0.1 μB per cell
Uncorrected energy ... -4.29 eV/atom
Symmetry ... F-43m
Volume ... 18.1 A^3/atom

ScCuTe2 | PBE | optimized geometry

The structure in extended XYZ format:
```
4
Lattice="0.000 3.589 3.589 3.589 0.000 3.589 3.589 3.589 0.000" Properties=species:S:1:pos:R:3 pbc="T T T"
Cu 1.794 1.794 1.794
Sc 3.589 3.589 3.589
Te 5.383 5.383 5.383
Te 0.000 0.000 0.000
```

Computed properties:
Spin magnetization ... 0.0 μB per cell
Uncorrected energy ... -4.09 eV/atom
Symmetry ... F-43m
Volume ... 23.1 A^3/atom

ScCuTe2 | PBE | optimized geometry

The structure in extended XYZ format:
```
4
Lattice="4.220 0.000 0.000 -2.110 3.655 0.000 0.000 0.000 6.773" Properties=species:S:1:pos:R:3 pbc="T T T"
Cu 0.000 0.000 2.652
Te 0.000 2.437 1.827
Te 0.000 0.000 5.239
Sc 2.110 1.218 0.054
```

Computed properties:
Spin magnetization ... 0.0 μB per cell
Uncorrected energy ... -4.84 eV/atom
Symmetry ... P3m1
Volume ... 26.1 A^3/atom

ScTlCuTe3 | PBE | optimized geometry

The structure in extended XYZ format:
```
24
Lattice="-5.834 13.114 7.043 0.884 -1.566 3.648 9.894 4.623 -0.413" Properties=species:S:1:pos:R:3 pbc="T T T"
Te 4.360 10.587 6.889
Te 0.965 9.457 4.959
Te 1.058 14.361 7.041
Te -1.619 7.157 6.866
Te 0.585 5.584 3.389
Te -2.389 12.114 6.912
Te 3.980 6.714 5.319
Te 7.333 4.057 3.365
Te 3.887 1.810 3.236
Te 0.343 1.246 1.586
Te 4.601 14.925 8.692
Te 6.564 9.014 3.412
Tl 4.250 5.168 2.322
Tl 0.694 11.003 7.956
Tl -0.463 2.543 4.605
Tl 5.408 13.629 5.673
Cu -1.741 6.442 4.321
Cu 6.686 9.729 5.957
Cu 6.440 1.694 2.568
Cu -1.495 14.477 7.710
Sc 8.379 3.674 0.680
Sc -3.434 12.497 9.598
Sc 3.801 9.455 4.271
Sc 1.143 6.717 6.007
```

Computed properties:
Spin magnetization ... 0.0 μB per cell
Uncorrected energy ... -4.27 eV/atom
Symmetry ... Pnma
Volume ... 29.6 A^3/atom

ScTlCuTe3 | PBE | optimized geometry

The structure in extended XYZ format:
```
12
Lattice="2.024 -7.748 0.000 2.024 7.748 0.000 0.000 0.000 10.915" Properties=species:S:1:pos:R:3 pbc="T T T"
Sc 0.000 0.000 5.457
Sc 0.000 0.000 0.000
Te 2.024 2.027 10.320
Te 2.024 -2.027 4.863
Te 2.024 6.625 8.186
Te 2.024 2.027 6.052
Te 2.024 -2.027 0.594
Te 2.024 -6.625 2.729
Cu 2.024 -0.534 2.729
Cu 2.024 0.534 8.186
Tl 2.024 -3.948 8.186
Tl 2.024 3.948 2.729
```

Computed properties:
Spin magnetization ... 0.0 μB per cell
Uncorrected energy ... -4.26 eV/atom
Symmetry ... Cmcm
Volume ... 28.5 A^3/atom

Tm3Sc3CuTe2 | PBE | optimized geometry

The structure in extended XYZ format:
```
9
Lattice="-3.336 2.503 -6.960 -2.282 -7.060 3.284 -2.712 1.779 1.940" Properties=species:S:1:pos:R:3 pbc="T T T"
Sc -1.366 -4.227 1.966
Sc -2.254 -1.829 -1.475
Sc -1.997 1.498 -4.167
Tm -1.922 -0.862 1.785
Tm -5.580 -2.537 -1.794
Tm -2.184 1.510 -0.757
Cu 0.000 0.000 0.000
Te -4.341 0.205 -2.575
Te -3.989 -2.983 0.839
```

Computed properties:
Spin magnetization ... 0.0 μB per cell
ΔE to the lowest computed polymorph ... 61 meV/atom
Uncorrected energy ... -5.29 eV/atom
Symmetry ... P-62m
Volume ... 23.9 A^3/atom

Tm3Sc3CuTe2 | PBE | optimized geometry

The structure in extended XYZ format:
```
9
Lattice="7.956 0.000 0.000 -3.978 6.891 0.000 0.000 0.000 3.902" Properties=species:S:1:pos:R:3 pbc="T T T"
Tm -2.411 4.175 0.000
Tm 1.568 2.715 0.000
Tm 4.821 0.000 0.000
Te 3.978 2.297 1.951
Te 0.000 4.594 1.951
Sc -0.949 1.643 1.951
Sc 3.029 5.247 1.951
Sc 1.898 0.000 1.951
Cu 0.000 0.000 0.000
```

Computed properties:
Spin magnetization ... 0.0 μB per cell
ΔE to the lowest computed polymorph ... 0 meV/atom
Uncorrected energy ... -5.35 eV/atom
Symmetry ... P-62m
Volume ... 23.8 A^3/atom

YTm2Sc3CuTe2 | PBE | optimized geometry

The structure in extended XYZ format:
```
9
Lattice="3.938 0.000 0.000 0.000 6.910 4.001 0.000 -6.910 4.001" Properties=species:S:1:pos:R:3 pbc="T T T"
Te 1.969 -2.317 3.995
Te 1.969 2.317 3.995
Y 0.000 0.000 4.831
Tm 0.000 -2.717 1.573
Tm 0.000 2.717 1.573
Sc 1.969 -5.261 3.059
Sc 1.969 5.261 3.059
Sc 1.969 0.000 1.892
Cu 0.000 0.000 0.026
```

Computed properties:
Spin magnetization ... 0.0 μB per cell
Uncorrected energy ... -5.59 eV/atom
Symmetry ... Amm2
Volume ... 24.2 A^3/atom

Y2Tm3ScCuTe2 | PBE | optimized geometry

The structure in extended XYZ format:
```
9
Lattice="-2.386 0.766 2.976 -1.360 -8.092 0.992 6.210 3.672 4.033" Properties=species:S:1:pos:R:3 pbc="T T T"
Cu 0.008 -0.007 0.008
Tm -1.495 -1.575 1.750
Tm 0.316 1.240 2.478
Tm 2.464 -2.950 5.277
Te 2.459 0.100 4.488
Te -0.011 -3.739 3.496
Y 3.710 2.190 2.410
Y -0.810 -4.833 0.595
Sc 1.943 -1.770 2.013
```

Computed properties:
Spin magnetization ... 0.0 μB per cell
Uncorrected energy ... -5.37 eV/atom
Symmetry ... Amm2
Volume ... 25.6 A^3/atom

YTm3Sc2CuTe2 | PBE | optimized geometry

The structure in extended XYZ format:
```
9
Lattice="3.836 0.000 0.000 0.000 7.093 4.090 0.000 -7.093 4.090" Properties=species:S:1:pos:R:3 pbc="T T T"
Y 0.000 0.000 3.297
Sc 0.000 -2.845 6.537
Sc 0.000 2.845 6.537
Tm 1.918 -5.329 5.073
Tm 1.918 0.000 6.195
Tm 1.918 5.329 5.073
Te 1.918 -2.407 4.102
Te 1.918 2.407 4.102
Cu 0.000 0.000 8.168
```

Computed properties:
Spin magnetization ... 0.0 μB per cell
Uncorrected energy ... -5.33 eV/atom
Symmetry ... Amm2
Volume ... 24.7 A^3/atom

Y2TmSc3CuTe2 | PBE | optimized geometry

The structure in extended XYZ format:
```
9
Lattice="3.951 0.000 0.000 0.000 6.929 3.986 0.000 -6.929 3.986" Properties=species:S:1:pos:R:3 pbc="T T T"
Sc 1.975 0.000 1.894
Sc 1.975 -1.633 7.021
Sc 1.975 1.633 7.021
Te 1.975 2.295 3.992
Te 1.975 -2.295 3.992
Cu 0.000 0.000 7.941
Y 0.000 -2.742 1.577
Y 0.000 2.742 1.577
Tm 0.000 0.000 4.843
```

Computed properties:
Spin magnetization ... 0.0 μB per cell
Uncorrected energy ... -5.82 eV/atom
Symmetry ... Amm2
Volume ... 24.2 A^3/atom

Y3Sc3CuTe2 | PBE | optimized geometry

The structure in extended XYZ format:
```
9
Lattice="-7.084 -3.838 -1.573 6.982 -2.739 -3.339 0.554 -2.259 3.012" Properties=species:S:1:pos:R:3 pbc="T T T"
Sc -4.231 -2.292 -0.940
Sc -0.041 -2.649 -1.978
Sc 4.170 -1.636 -1.994
Te -2.119 -4.601 -0.656
Te 2.570 -4.235 -1.244
Cu 0.000 0.000 0.000
Y 2.028 -1.816 0.669
Y -1.499 -2.092 1.112
Y 0.200 -6.057 -2.174
```

Computed properties:
Spin magnetization ... 0.0 μB per cell
ΔE to the lowest computed polymorph ... 112 meV/atom
Uncorrected energy ... -5.94 eV/atom
Symmetry ... P-62m
Volume ... 24.7 A^3/atom

Y3Sc3CuTe2 | PBE | optimized geometry

The structure in extended XYZ format:
```
9
Lattice="-1.166 2.426 7.533 -5.347 -4.787 -3.533 1.971 -3.183 1.330" Properties=species:S:1:pos:R:3 pbc="T T T"
Te -2.968 -3.974 0.821
Te -1.574 -1.570 4.509
Sc -0.277 -2.722 -0.169
Sc 0.710 -1.019 2.444
Sc -3.990 -3.395 3.720
Y -2.580 -0.935 1.585
Y -3.229 -2.891 -2.134
Y -0.704 1.465 4.549
Cu 0.000 0.000 0.000
```

Computed properties:
Spin magnetization ... 0.1 μB per cell
ΔE to the lowest computed polymorph ... 0 meV/atom
Uncorrected energy ... -6.06 eV/atom
Symmetry ... P-62m
Volume ... 24.5 A^3/atom

ScZnCuTe3 | PBE | optimized geometry

The structure in extended XYZ format:
```
12
Lattice="2.681 4.993 4.582 -5.655 -2.638 -3.764 -2.627 -6.200 8.293" Properties=species:S:1:pos:R:3 pbc="T T T"
Sc 0.000 0.000 0.000
Sc -1.314 -3.100 4.146
Te -2.886 -0.364 -0.243
Te -5.463 -3.411 -0.841
Te -1.762 -1.231 6.344
Te -3.840 -2.614 2.767
Te -2.716 -3.482 9.354
Te -0.139 -0.434 9.952
Zn -5.677 -5.505 4.406
Zn 0.075 1.659 4.704
Cu -3.252 -3.284 6.835
Cu -2.350 -0.561 2.276
```

Computed properties:
Spin magnetization ... 0.0 μB per cell
Uncorrected energy ... -3.94 eV/atom
Symmetry ... Cmcm
Volume ... 24.3 A^3/atom

Zr3Sc3CuTe2 | PBE | optimized geometry

The structure in extended XYZ format:
```
9
Lattice="-3.562 -0.645 6.829 -2.157 -4.474 -5.922 2.538 -2.645 1.074" Properties=species:S:1:pos:R:3 pbc="T T T"
Te -1.357 -4.520 -1.135
Te -1.825 -3.244 3.116
Sc -2.140 -0.388 4.104
Sc -1.296 -2.689 -3.559
Sc -2.283 -2.043 0.362
Zr 0.753 -2.392 -0.879
Zr 0.417 -1.477 2.170
Zr -3.083 -5.218 1.227
Cu 0.000 0.000 0.000
```

Computed properties:
Spin magnetization ... 0.0 μB per cell
ΔE to the lowest computed polymorph ... 0 meV/atom
Uncorrected energy ... -6.62 eV/atom
Symmetry ... P-62m
Volume ... 22.0 A^3/atom

Zr3Sc3CuTe2 | PBE | optimized geometry

The structure in extended XYZ format:
```
9
Lattice="7.780 0.000 0.000 -3.890 6.738 0.000 0.000 0.000 3.678" Properties=species:S:1:pos:R:3 pbc="T T T"
Zr -2.312 4.005 0.000
Zr 4.624 0.000 0.000
Zr 1.578 2.733 0.000
Te 3.890 2.246 1.839
Te 0.000 4.492 1.839
Cu 0.000 0.000 0.000
Sc -0.949 1.644 1.839
Sc 1.899 0.000 1.839
Sc 2.941 5.093 1.839
```

Computed properties:
Spin magnetization ... 0.0 μB per cell
ΔE to the lowest computed polymorph ... 6 meV/atom
Uncorrected energy ... -6.62 eV/atom
Symmetry ... P-62m
Volume ... 21.4 A^3/atom